Computed, not measured: a geometry-optimized NbFePt structure at the PBE-GGA level of DFT.

DFT formation energy = 0.26 eV/f.u.
DFT total energy = -24.197 eV/cell
magnetic moment = 0.27 μB/atom
symmetry = F-43m

```
data_NbFePt
_cell_length_a 4.125
_cell_length_b 4.125
_cell_length_c 4.125
_cell_angle_alpha 60.00
_cell_angle_beta 60.00
_cell_angle_gamma 60.00
_symmetry_space_group_name_H-M 'P 1'
_symmetry_Int_Tables_number 1
loop_
_symmetry_equiv_pos_as_xyz
'x,y,z'
loop_
_atom_site_label
_atom_site_type_symbol
_atom_site_fract_x
_atom_site_fract_y
_atom_site_fract_z
Nb1 Nb 0.000 0.000 0.000
Fe1 Fe 0.250 0.250 0.250
Pt1 Pt 0.500 0.500 0.500
```

=====

Computed, not measured: a geometry-optimized Nb3Fe8Pt structure at the PBE-GGA level of DFT.

DFT formation energy = -2.39 eV/f.u.
DFT total energy = -105.196 eV/cell
magnetic moment = 0.97 μB/atom
symmetry = R3m

```
data_Nb3Fe8Pt
_cell_length_a 8.278
_cell_length_b 8.278
_cell_length_c 8.278
_cell_angle_alpha 33.57
_cell_angle_beta 33.57
_cell_angle_gamma 33.57
_symmetry_space_group_name_H-M 'P 1'
_symmetry_Int_Tables_number 1
loop_
_symmetry_equiv_pos_as_xyz
'x,y,z'
loop_
_atom_site_label
_atom_site_type_symbol
_atom_site_fract_x
_atom_site_fract_y
_atom_site_fract_z
Nb1 Nb 0.000 0.000 0.000
Nb2 Nb 0.126 0.126 0.126
Nb3 Nb 0.508 0.508 0.508
Fe1 Fe 0.066 0.066 0.563
Fe2 Fe 0.066 0.563 0.066
Fe3 Fe 0.067 0.566 0.566
Fe4 Fe 0.316 0.316 0.316
Fe5 Fe 0.563 0.066 0.066
Fe6 Fe 0.566 0.067 0.566
Fe7 Fe 0.566 0.566 0.067
Fe8 Fe 0.815 0.815 0.815
Pt1 Pt 0.630 0.630 0.630
```

=====

Computed, not measured: a geometry-optimized RbNbFe structure at the PBE-GGA level of DFT.

E above lowest polymorph = 0.000 eV/f.u.
DFT total energy = -13.730 eV/cell
magnetic moment = 0.02 μB/atom
symmetry = F-43m

```
data_RbNbFe
_cell_length_a 4.703
_cell_length_b 4.703
_cell_length_c 4.703
_cell_angle_alpha 60.00
_cell_angle_beta 60.00
_cell_angle_gamma 60.00
_symmetry_space_group_name_H-M 'P 1'
_symmetry_Int_Tables_number 1
loop_
_symmetry_equiv_pos_as_xyz
'x,y,z'
loop_
_atom_site_label
_atom_site_type_symbol
_atom_site_fract_x
_atom_site_fract_y
_atom_site_fract_z
Rb1 Rb 0.000 0.000 0.000
Nb1 Nb 0.500 0.500 0.500
Fe1 Fe 0.750 0.750 0.750
```

=====

Computed, not measured: a geometry-optimized RbNbFe structure at the PBE-GGA level of DFT.

E above lowest polymorph = 2.983 eV/f.u.
DFT total energy = -10.746 eV/cell
magnetic moment = 0.36 μB/atom
symmetry = F-43m

```
data_RbNbFe
_cell_length_a 4.461
_cell_length_b 4.461
_cell_length_c 4.461
_cell_angle_alpha 60.00
_cell_angle_beta 60.00
_cell_angle_gamma 60.00
_symmetry_space_group_name_H-M 'P 1'
_symmetry_Int_Tables_number 1
loop_
_symmetry_equiv_pos_as_xyz
'x,y,z'
loop_
_atom_site_label
_atom_site_type_symbol
_atom_site_fract_x
_atom_site_fract_y
_atom_site_fract_z
Rb1 Rb 0.000 0.000 0.000
Nb1 Nb 0.250 0.250 0.250
Fe1 Fe 0.750 0.750 0.750
```

=====

Computed, not measured: a geometry-optimized RbNbFeTe3 structure at the PBE-GGA level of DFT.

DFT total energy = -63.646 eV/cell
magnetic moment = 0.33 μB/atom
symmetry = P2_1/m

```
data_RbNbFeTe3
_cell_length_a 9.640
_cell_length_b 3.804
_cell_length_c 10.451
_cell_angle_alpha 90.00
_cell_angle_beta 113.91
_cell_angle_gamma 90.00
_symmetry_space_group_name_H-M 'P 1'
_symmetry_Int_Tables_number 1
loop_
_symmetry_equiv_pos_as_xyz
'x,y,z'
loop_
_atom_site_label
_atom_site_type_symbol
_atom_site_fract_x
_atom_site_fract_y
_atom_site_fract_z
Rb1 Rb 0.002 0.250 0.226
Rb2 Rb 0.998 0.750 0.774
Nb1 Nb 0.470 0.750 0.687
Nb2 Nb 0.530 0.250 0.313
Fe1 Fe 0.481 0.250 0.902
Fe2 Fe 0.519 0.750 0.098
Te1 Te 0.248 0.250 0.659
Te2 Te 0.311 0.250 0.044
Te3 Te 0.344 0.750 0.381
Te4 Te 0.656 0.250 0.619
Te5 Te 0.689 0.750 0.956
Te6 Te 0.752 0.750 0.341
```

=====

Computed, not measured: a geometry-optimized NbFeRe2 structure at the PBE-GGA level of DFT.

DFT formation energy = 0.08 eV/f.u.
DFT total energy = -43.165 eV/cell
magnetic moment = 0.59 μB/atom
symmetry = F-43m

```
data_NbFeRe2
_cell_length_a 4.383
_cell_length_b 4.383
_cell_length_c 4.383
_cell_angle_alpha 60.00
_cell_angle_beta 60.00
_cell_angle_gamma 60.00
_symmetry_space_group_name_H-M 'P 1'
_symmetry_Int_Tables_number 1
loop_
_symmetry_equiv_pos_as_xyz
'x,y,z'
loop_
_atom_site_label
_atom_site_type_symbol
_atom_site_fract_x
_atom_site_fract_y
_atom_site_fract_z
Nb1 Nb 0.000 0.000 0.000
Fe1 Fe 0.250 0.250 0.250
Re1 Re 0.500 0.500 0.500
Re2 Re 0.750 0.750 0.750
```

=====

Q: The lowest DFT total energy belongs to which entry?
A: Nb3Fe8Pt

=====

Q: Which of these has the highest DFT total energy?
A: number 4

=====

Q: Which of these has the lowest magnetic moment?
A: number 3